A plane-wave DFT calculation with PBE+U was carried out for a relaxed KMn2P2HO9 crystal.

## Properties
The calculation puts the total energy at -6.954 eV per atom. For the total magnetization, the calculation gives 16.00 μB/cell.

extended XYZ file:
```
30
Lattice="7.016 0.000 0.000 0.000 6.336 0.025 0.000 2.684 8.555" Properties=species:S:1:pos:R:3 pbc="T T T"
P 1.754 3.674 2.959
O 3.005 3.929 2.090
O 1.754 6.791 5.756
K 1.754 6.477 1.505
O 5.262 2.229 2.823
Mn 0.000 3.168 0.012
H 5.262 7.124 4.246
O 4.012 5.092 6.490
Mn 1.754 4.838 6.100
O 5.262 3.872 0.549
O 3.995 1.398 0.747
O 6.529 1.398 0.747
K 5.262 2.543 7.074
O 0.504 3.929 2.090
O 1.754 4.610 4.174
O 0.487 7.623 7.832
Mn 3.508 3.168 0.012
O 5.262 4.411 4.406
P 5.262 1.220 1.642
O 5.262 6.888 5.204
P 1.754 7.801 6.937
O 6.513 5.092 6.490
O 1.754 2.867 6.288
O 5.262 6.154 2.292
Mn 5.262 4.182 2.479
O 3.021 7.623 7.832
H 1.754 1.897 4.333
P 5.262 5.346 5.620
O 1.754 2.133 3.375
O 1.754 5.149 8.031
```